5
Lattice="4.643 0.000 0.000 0.000 4.643 0.000 0.000 0.000 4.643" Properties=species:S:1:pos:R:3 comment="PBE KCoW3, optimized geometry" total_energy_ev_per_cell=-37.322 formation_energy_ev_per_fu=9.7 space_group="Pm-3m (221)" pbc="T T T"
K 0.000 0.000 0.000
Co 2.321 2.321 2.321
W 0.000 2.321 2.321
W 2.321 0.000 2.321
W 2.321 2.321 0.000